# LaNi

LaNi after structural relaxation (PBE, the Alexandria database).

Cell: 5.863 5.863 5.507 Å, 90.00 90.00 90.00°
Atoms (fractional coordinates):
La: 0.199 0.199 0.000
La: 0.301 0.699 0.500
La: 0.699 0.301 0.500
La: 0.801 0.801 0.000
Ni: 0.156 0.156 0.500
Ni: 0.344 0.656 0.000
Ni: 0.656 0.344 0.000
Ni: 0.844 0.844 0.500

Values from the calculation:
formation enthalpy at 0 K: -0.230 eV per atom


# Al2CdCuTe4

Al2CdCuTe4 after structural relaxation (PBE, the Alexandria database).

Cell: 7.641 7.381 6.464 Å, 66.62 62.45 50.94°
Atoms (fractional coordinates):
Al: 0.000 0.000 0.500
Al: 0.500 0.500 0.000
Cd: 0.246 0.246 0.754
Cu: 0.743 0.743 0.257
Te: 0.094 0.628 0.372
Te: 0.372 0.840 0.628
Te: 0.628 0.094 0.906
Te: 0.840 0.372 0.160

Values from the calculation:
formation energy without anion corrections: -0.27 eV per atom


# InSb2Se

InSb2Se after structural relaxation (PBE, the Alexandria database).

Cell: 5.773 5.773 5.773 Å, 131.79 131.79 70.57°
Atoms (fractional coordinates):
In: 0.000 0.000 0.000
Sb: 0.250 0.750 0.500
Sb: 0.500 0.500 0.000
Se: 0.750 0.250 0.500

Values from the calculation:
formation energy without anion corrections: 0.20 eV per atom


# Sm2Y3ErTe6

Sm2Y3ErTe6 after structural relaxation (PBE, the Alexandria database).

Cell: 9.802 9.802 8.812 Å, 102.62 102.62 25.71°
Atoms (fractional coordinates):
Sm: 0.170 0.170 0.337
Sm: 0.830 0.830 0.663
Y: 0.172 0.172 0.834
Y: 0.500 0.500 0.500
Y: 0.828 0.828 0.166
Er: 0.500 0.500 0.000
Te: 0.002 0.002 0.754
Te: 0.337 0.337 0.414
Te: 0.337 0.337 0.924
Te: 0.663 0.663 0.076
Te: 0.663 0.663 0.586
Te: 0.998 0.998 0.246

Values from the calculation:
formation energy without anion corrections: -1.32 eV per atom


# Tm3Al2Co

Tm3Al2Co after structural relaxation (PBE, the Alexandria database).

Cell: 12.271 3.664 12.106 Å, 90.00 90.00 90.00°
Atoms (fractional coordinates):
Tm: 0.039 0.250 0.119
Tm: 0.118 0.750 0.539
Tm: 0.240 0.250 0.778
Tm: 0.260 0.750 0.278
Tm: 0.382 0.250 0.039
Tm: 0.461 0.750 0.619
Tm: 0.539 0.250 0.381
Tm: 0.618 0.750 0.961
Tm: 0.740 0.250 0.722
Tm: 0.760 0.750 0.222
Tm: 0.882 0.250 0.461
Tm: 0.961 0.750 0.881
Al: 0.011 0.750 0.311
Al: 0.191 0.750 0.987
Al: 0.309 0.250 0.487
Al: 0.489 0.250 0.811
Al: 0.511 0.750 0.189
Al: 0.691 0.750 0.513
Al: 0.809 0.250 0.013
Al: 0.989 0.250 0.689
Co: 0.136 0.250 0.377
Co: 0.364 0.750 0.877
Co: 0.636 0.250 0.123
Co: 0.864 0.750 0.623

Values from the calculation:
formation enthalpy at 0 K: -0.333 eV per atom


# Pm6PrNdY2

Pm6PrNdY2 after structural relaxation (PBE, the Alexandria database).

Cell: 8.975 8.975 9.565 Å, 92.88 92.88 115.47°
Atoms (fractional coordinates):
Pm: 0.004 0.551 0.180
Pm: 0.103 0.762 0.561
Pm: 0.238 0.897 0.939
Pm: 0.295 0.531 0.386
Pm: 0.449 0.996 0.320
Pm: 0.469 0.705 0.114
Pm: 0.531 0.295 0.886
Pm: 0.551 0.004 0.680
Pm: 0.705 0.469 0.614
Pm: 0.762 0.103 0.061
Pm: 0.897 0.238 0.439
Pm: 0.996 0.449 0.820
Pr: 0.043 0.957 0.250
Pr: 0.957 0.043 0.750
Nd: 0.409 0.591 0.750
Nd: 0.591 0.409 0.250
Y: 0.202 0.295 0.056
Y: 0.295 0.202 0.556
Y: 0.705 0.798 0.444
Y: 0.798 0.705 0.944

Values from the calculation:
formation enthalpy at 0 K: 0.115 eV per atom


Please write out number 3 again, unchanged.
# InSb2Se

InSb2Se after structural relaxation (PBE, the Alexandria database).

Cell: 5.773 5.773 5.773 Å, 131.79 131.79 70.57°
Atoms (fractional coordinates):
In: 0.000 0.000 0.000
Sb: 0.250 0.750 0.500
Sb: 0.500 0.500 0.000
Se: 0.750 0.250 0.500

Values from the calculation:
formation energy without anion corrections: 0.20 eV per atom